## AcPr2Ga2 (PBE-GGA)

Data for crystalline AcPr2Ga2 at its relaxed geometry.

It has space group C2/m (No. 12), with a = 12.573 Å, b = 4.177 Å, c = 5.998 Å, α = 90.00°, β = 101.17° and γ = 90.00°. Symmetry generates all atoms from Ac at (0.000, 0.000, 0.000), Pr at (0.139, 0.500, 0.566) and Ga at (0.220, 0.500, 0.106).

The value obtained for the calculated volume is 309.0 Å³ per cell. The energy above the most stable polymorph in this dataset is 0.10 eV per formula unit.

=====

## Tb4HoAs5 (PBE-GGA)

Data for crystalline Tb4HoAs5 at its relaxed geometry.

It has space group I4/m (No. 87), with a = 9.238 Å, b = 9.238 Å, c = 5.843 Å, α = 90.00°, β = 90.00° and γ = 90.00°. Symmetry generates all atoms from Tb at (0.100, 0.700, 0.000), Ho at (0.000, 0.000, 0.500), As at (0.000, 0.000, 0.000) and As at (0.100, 0.701, 0.500).

The value obtained for the calculated volume is 498.7 Å³ per cell.

=====

## Ti2BeFe (PBE-GGA)

Data for crystalline Ti2BeFe at its relaxed geometry.

It has space group P4/mmm (No. 123), with a = 2.952 Å, b = 2.952 Å, c = 5.857 Å, α = 90.00°, β = 90.00° and γ = 90.00°. Symmetry generates all atoms from Ti at (0.000, 0.000, 0.248), Be at (0.500, 0.500, 0.000) and Fe at (0.500, 0.500, 0.500).

The value obtained for the calculated volume is 51.0 Å³ per cell.

=====

Number 1: total DFT energy (no corrections) -43.0 eV for the cell shown. Number 2: total DFT energy (no corrections) -123.5 eV for the cell shown. Number 3: total DFT energy (no corrections) -29.1 eV for the cell shown.